A relaxed structure of Rb2TiMnF6, computed with PBE+U.

The mass density is 4.06 g cm⁻³. Its uncorrected energy is -0.20628 Ha/atom. Its space-group type is Fm-3m.

Cell: 6.0739 6.0739 6.0739 Å, 60.00 60.00 60.00°
With the nearest neighbours (Å) after each atom.
Sites, in units of the cell vectors:
Rb: 0.2500 0.2500 0.2500  12 F 3.04
Rb: 0.7500 0.7500 0.7500  12 F 3.04
Ti: 0.0000 0.0000 0.0000  6 F 2.14
Mn: 0.5000 0.5000 0.5000  6 F 2.16
F: 0.2491 0.2491 0.7509  1 Ti 2.14, 1 Mn 2.16
F: 0.2491 0.7509 0.2491  1 Ti 2.14, 1 Mn 2.16
F: 0.2491 0.7509 0.7509  1 Ti 2.14, 1 Mn 2.16
F: 0.7509 0.2491 0.2491  1 Ti 2.14, 1 Mn 2.16
F: 0.7509 0.2491 0.7509  1 Ti 2.14, 1 Mn 2.16
F: 0.7509 0.7509 0.2491  1 Ti 2.14, 1 Mn 2.16